Record 1
The following is a PBE calculation of a relaxed Al2ZnCu5 crystal, from the Alexandria database.

```
8
Lattice="-2.083 2.083 5.924 2.083 -2.083 5.924 2.083 2.083 -5.924" Properties=species:S:1:pos:R:3 pbc="T T T"
Al 0.000 0.000 2.919
Al 0.000 0.000 8.929
Zn 0.000 0.000 5.924
Cu 0.000 0.000 0.000
Cu 2.083 0.000 1.475
Cu 2.083 0.000 4.449
Cu 0.000 2.083 1.475
Cu 0.000 2.083 4.449
```

## Properties
The volume is 12.8 Å³ per atom. Its space group is I4/mmm (139). As for the total magnetic moment: 0.00 μB/atom. The formation enthalpy at 0 K is -152 meV/atom.

=====

Record 2
The following is a PBE calculation of a relaxed AlZn7Cu4 crystal, from the Alexandria database.

```
12
Lattice="5.892 -2.218 0.000 5.892 2.218 0.000 -5.651 0.000 7.078" Properties=species:S:1:pos:R:3 pbc="T T T"
Al 0.000 0.000 0.000
Zn -1.299 0.000 2.518
Zn -2.204 0.000 6.004
Zn 1.780 0.000 2.838
Zn 5.892 0.000 0.000
Zn 4.353 0.000 4.241
Zn 8.338 0.000 1.075
Zn 7.432 0.000 4.560
Cu -0.006 0.000 4.595
Cu 3.811 0.000 1.450
Cu 2.322 0.000 5.629
Cu 6.140 0.000 2.484
```

## Properties
The volume is 15.4 Å³ per atom. Its space group is C2/m (12). As for the total magnetic moment: 0.00 μB/atom. The formation enthalpy at 0 K is 134 meV/atom.

=====

Record 3
The following is a PBE calculation of a relaxed Al2ZnCu crystal, from the Alexandria database.

```
4
Lattice="3.255 0.000 0.000 0.000 4.267 0.000 0.000 0.000 4.339" Properties=species:S:1:pos:R:3 pbc="T T T"
Al 0.000 0.000 0.000
Al 1.627 0.000 2.170
Zn 0.000 2.134 2.170
Cu 1.627 2.134 0.000
```

## Properties
The volume is 15.1 Å³ per atom. Its space group is Pmmm (47). As for the total magnetic moment: 0.00 μB/atom. The formation enthalpy at 0 K is 68 meV/atom.

=====

Record 4
The following is a PBE calculation of a relaxed AlZnCu crystal, from the Alexandria database.

```
3
Lattice="-1.483 1.799 3.950 1.483 -1.799 3.950 1.483 1.799 -3.950" Properties=species:S:1:pos:R:3 pbc="T T T"
Al 0.000 0.000 0.000
Zn 0.000 0.000 2.590
Cu 0.000 0.000 5.230
```

## Properties
The volume is 14.1 Å³ per atom. Its space group is Imm2 (44). As for the total magnetic moment: 0.00 μB/atom. The formation enthalpy at 0 K is -73 meV/atom.